A relaxed VNiHgF2 crystal. Source: Alexandria, functional PBE+U.

Computed properties:
Fermi-level density of states (states/eV per cell): 2.2
DFT total energy (eV/atom): -3.16

abc: 3.8742 3.8742 5.8450
angles: 90.00 90.00 90.00
With the nearest neighbours (Å) after each atom.
Space group P4/mmm (No. 123)
One atom of each set of equivalent atoms:
1 V 0.0000 0.0000 0.0000 x1  4 Hg 2.74, 2 Ni 2.92
2 Ni 0.0000 0.0000 0.5000 x1  4 F 1.94
3 Hg 0.5000 0.5000 0.0000 x1  4 V 2.74
4 F 0.0000 0.5000 0.5000 x2  2 Ni 1.94